# 1
Below is a relaxed LaYBe2 crystal, with properties calculated at the PBE level.

Its relative energy among the computed polymorphs is 128.3 meV per atom. The value obtained for the total DFT energy (no corrections) is -4.49 eV/atom.

The space group is C2/m (No. 12) and the conventional cell measures 9.787, 3.904 and 6.644 Å, with angles of 90.00, 128.47 and 90.00 degrees. The inequivalent atoms are La at (0.000, 0.000, 0.000), Y at (0.000, 0.500, 0.500) and Be at (0.246, 0.000, 0.568).


# 2
Below is a relaxed CdFe5 crystal, with properties calculated at the PBE level.

The value obtained for the total DFT energy (no corrections) is -7.00 eV/atom.

The space group is F-43m (No. 216) and the conventional cell measures 6.750, 6.750 and 6.750 Å, with angles of 90.00, 90.00 and 90.00 degrees. The inequivalent atoms are Cd at (0.000, 0.000, 0.000), Fe at (0.125, 0.125, 0.625) and Fe at (0.250, 0.250, 0.250).


# 3
Below is a relaxed YZrBr2 crystal, with properties calculated at the PBE level.

Its relative energy among the computed polymorphs is 643.5 meV per atom. As for the uncorrected formation energy: -1.665 eV per formula unit. The value obtained for the total DFT energy (no corrections) is -5.01 eV/atom.

The space group is P4/mmm (No. 123) and the conventional cell measures 5.028, 5.028 and 3.505 Å, with angles of 90.00, 90.00 and 90.00 degrees. The inequivalent atoms are Y at (0.000, 0.000, 0.000), Zr at (0.500, 0.500, 0.000) and Br at (0.000, 0.500, 0.500).


Values for D(E_F), states/eV/f.u., ordered as above
4.317; 1.691; 3.641